Version i
CoIBrO2 after structural relaxation. Source: Alexandria via LeMat-Bulk, functional PBE+U.

Properties
The calculation puts the total magnetic moment at 2.0 μB/cell. As for the crystal system: tetragonal. As for the space group: P4/mmm.

a b c (Å): 3.8645 3.8645 7.8686
angles (deg): 90.00 90.00 90.00
Positions (direct):
I  0.0000  0.0000  0.5000
Co  0.5000  0.5000  0.5000
O  0.0000  0.5000  0.0000
O  0.5000  0.0000  0.0000
Br  0.0000  0.0000  0.0000

Version ii
CoIBrO2 after structural relaxation. Source: Alexandria via LeMat-Bulk, functional PBE+U.

Properties
The calculation puts the total magnetic moment at 4.3 μB/cell. As for the crystal system: tetragonal. As for the space group: P4/mmm.

a b c (Å): 3.9482 3.9482 6.4111
angles (deg): 90.00 90.00 90.00
Positions (direct):
I  0.0000  0.0000  0.5000
Co  0.0000  0.0000  0.0000
O  0.0000  0.5000  0.0000
O  0.5000  0.0000  0.0000
Br  0.5000  0.5000  0.5000

Among the structures above, stability is greatest for version ii.